MgCoSe2N | PBE | relaxed Values from VASP.

```
&SYSTEM
  ibrav = 0, nat = 5, ntyp = 4
/
ATOMIC_SPECIES
Mg 24.30 Mg.upf
Co 58.93 Co.upf
Se 78.96 Se.upf
N 14.01 N.upf
CELL_PARAMETERS angstrom
5.0055 0.0000 0.0000
0.0000 5.0055 0.0000
0.0000 0.0000 3.3955
ATOMIC_POSITIONS crystal
Mg 0.0000 0.0000 0.0000
Co 0.5000 0.5000 0.5000
Se 0.0000 0.5000 0.5000
Se 0.5000 0.0000 0.5000
N 0.5000 0.5000 0.0000
```

Properties
Offset from the most stable computed form = 0 meV/atom
Formation energy (no corrections) = -0.013 eV/atom
Uncorrected energy = -24.1 eV/f.u.